The following is a meta-GGA SCAN calculation of a PBEsol-optimized structure of BaZnTe2O7, from the Alexandria database.

The value obtained for the volume is 14.2 A^3/atom. As for the space group: No. 40. The value obtained for the energy is -17.271 eV/atom. The calculation puts the total magnetic moment at 0.0000 μB/atom.

```
22
Lattice="5.561 0.000 0.000 0.000 7.309 0.000 0.000 -3.654 7.694" Properties=species:S:1:pos:R:3 pbc="T T T"
Zn 1.390 1.052 5.920
Zn 4.171 4.706 1.774
O 1.390 4.816 0.246
O 2.755 5.986 2.417
O 1.390 0.958 2.091
O 2.737 -0.450 5.471
O 2.824 3.204 2.223
O 5.535 2.331 5.277
O 5.517 3.204 2.223
O 2.780 0.023 0.000
O 4.171 1.162 7.448
O 0.000 0.023 0.000
O 4.171 4.612 5.603
O 0.043 -0.450 5.471
O 2.806 2.331 5.277
O 0.026 5.986 2.417
Te 1.390 2.742 1.110
Te 1.390 6.509 1.206
Te 4.171 2.855 6.488
Te 4.171 -0.913 6.584
Ba 4.171 0.943 3.239
Ba 1.390 4.597 4.455
```